Entry 1:
Np2MoO11, relaxed, DFT GGA+U; final energy = -222.12 eV per cell
1.0
-4.1683 4.6224 5.3312
4.1683 -4.6224 5.3312
4.1683 4.6224 -5.3312
Np Mo O
4 2 22
Direct
0.2137 0.1626 0.3763 Np
0.2863 0.6626 0.9489 Np
0.7137 0.3374 0.0511 Np
0.7863 0.8374 0.6237 Np
0.2500 0.7500 0.5000 Mo
0.7500 0.2500 0.5000 Mo
0.0000 0.0000 0.0000 O
0.0137 0.5474 0.2790 O
0.0177 0.8830 0.6276 O
0.1793 0.9076 0.0869 O
0.2316 0.9526 0.4663 O
0.2447 0.6170 0.1347 O
0.2553 0.3901 0.3724 O
0.2684 0.7347 0.7210 O
0.3207 0.4076 0.7283 O
0.4823 0.1099 0.8653 O
0.4863 0.7653 0.5337 O
0.5000 0.5000 0.0000 O
0.5137 0.2347 0.4663 O
0.5177 0.8901 0.1347 O
0.6793 0.5924 0.2717 O
0.7316 0.2653 0.2790 O
0.7447 0.6099 0.6276 O
0.7553 0.3830 0.8653 O
0.7684 0.0474 0.5337 O
0.8207 0.0924 0.9131 O
0.9823 0.1170 0.3724 O
0.9863 0.4526 0.7210 O

***

Entry 2:
NpMoO6, relaxed, DFT GGA+U; final energy = -129.34 eV per cell
1.0
4.7942 0.0000 0.0000
0.0000 4.7942 0.0000
0.0000 0.0000 8.2713
Np Mo O
2 2 12
Direct
0.0000 0.0000 0.2500 Np
0.0000 0.0000 0.7500 Np
0.5000 0.5000 0.0000 Mo
0.5000 0.5000 0.5000 Mo
0.2217 0.2217 0.0000 O
0.2217 0.7783 0.5000 O
0.2719 0.2719 0.3373 O
0.2719 0.2719 0.6627 O
0.2719 0.7281 0.1627 O
0.2719 0.7281 0.8373 O
0.7281 0.2719 0.1627 O
0.7281 0.2719 0.8373 O
0.7281 0.7281 0.3373 O
0.7281 0.7281 0.6627 O
0.7783 0.2217 0.5000 O
0.7783 0.7783 0.0000 O